[1]
# PBE SmPa, optimized geometry
# Total magnetic moment ... 0.02 μB per formula unit
# Calculated total energy ... -5.91 eV/atom
data_SmPa
_chemical_formula_sum 'Sm4 Pa4'
_symmetry_space_group_name_H-M 'F m -3 m'
_symmetry_Int_Tables_number 225
_symmetry_space_group_name_Hall '-F 4 2 3'
_cell_length_a 6.134
_cell_length_b 6.134
_cell_length_c 6.134
_cell_angle_alpha 90.00
_cell_angle_beta 90.00
_cell_angle_gamma 90.00
loop_
_atom_site_label
_atom_site_type_symbol
_atom_site_fract_x
_atom_site_fract_y
_atom_site_fract_z
Sm1 Sm 0.000 0.000 0.000
Pa1 Pa 0.000 0.000 0.500

---

[2]
# PBE NbCdPO, optimized geometry
# Total magnetic moment ... 0.00 μB per formula unit
# Calculated total energy ... -5.78 eV/atom
data_NbCdPO
_chemical_formula_sum 'Nb2 Cd2 P2 O2'
_symmetry_space_group_name_H-M 'P 4/n m m'
_symmetry_Int_Tables_number 129
_cell_length_a 4.306
_cell_length_b 4.306
_cell_length_c 7.429
_cell_angle_alpha 90.00
_cell_angle_beta 90.00
_cell_angle_gamma 90.00
loop_
_symmetry_equiv_pos_as_xyz
'x,y,z'
'-x,-y,-z'
'-y+1/2,x,z'
'y+1/2,-x,-z'
'-x+1/2,-y+1/2,z'
'x+1/2,y+1/2,-z'
'y,-x+1/2,z'
'-y,x+1/2,-z'
'x+1/2,-y,-z'
'-x+1/2,y,z'
'-y,-x,-z'
'y,x,z'
'-x,y+1/2,-z'
'x,-y+1/2,z'
'y+1/2,x+1/2,-z'
'-y+1/2,-x+1/2,z'
loop_
_atom_site_label
_atom_site_type_symbol
_atom_site_fract_x
_atom_site_fract_y
_atom_site_fract_z
Nb1 Nb 0.250 0.750 0.000
Cd1 Cd 0.250 0.250 0.406
P1 P 0.250 0.250 0.837
O1 O 0.250 0.750 0.500

---

[3]
# PBE NaSmTe3Pd, optimized geometry
# Total magnetic moment ... 0.01 μB per formula unit
# Calculated total energy ... -4.35 eV/atom
data_NaSmTe3Pd
_chemical_formula_sum 'Na4 Sm4 Te12 Pd4'
_symmetry_space_group_name_H-M 'C m c m'
_symmetry_Int_Tables_number 63
_symmetry_space_group_name_Hall '-C 2c 2'
_cell_length_a 4.340
_cell_length_b 16.097
_cell_length_c 10.274
_cell_angle_alpha 90.00
_cell_angle_beta 90.00
_cell_angle_gamma 90.00
loop_
_atom_site_label
_atom_site_type_symbol
_atom_site_fract_x
_atom_site_fract_y
_atom_site_fract_z
Na1 Na 0.000 0.243 0.250
Sm1 Sm 0.000 0.000 0.000
Te1 Te 0.000 0.109 0.750
Te2 Te 0.000 0.371 0.592
Pd1 Pd 0.000 0.498 0.250

---

[4]
# PBE LuFeNiSn, optimized geometry
# Total magnetic moment ... 2.90 μB per formula unit
# Calculated total energy ... -5.53 eV/atom
data_LuFeNiSn
_chemical_formula_sum 'Lu4 Fe4 Ni4 Sn4'
_symmetry_space_group_name_H-M 'F -4 3 m'
_symmetry_Int_Tables_number 216
_symmetry_space_group_name_Hall 'F -4 2 3'
_cell_length_a 6.558
_cell_length_b 6.558
_cell_length_c 6.558
_cell_angle_alpha 90.00
_cell_angle_beta 90.00
_cell_angle_gamma 90.00
loop_
_atom_site_label
_atom_site_type_symbol
_atom_site_fract_x
_atom_site_fract_y
_atom_site_fract_z
Lu1 Lu 0.000 0.000 0.000
Fe1 Fe 0.250 0.250 0.750
Ni1 Ni 0.000 0.000 0.500
Sn1 Sn 0.250 0.250 0.250

---

[5]
# PBE SmAlCu, optimized geometry
# Total magnetic moment ... 0.00 μB per formula unit
# Calculated total energy ... -4.47 eV/atom
data_SmAlCu
_chemical_formula_sum 'Sm6 Al6 Cu6'
_symmetry_space_group_name_H-M 'A m m 2'
_symmetry_Int_Tables_number 38
_symmetry_space_group_name_Hall 'A 2 -2'
_cell_length_a 4.068
_cell_length_b 12.385
_cell_length_c 7.164
_cell_angle_alpha 90.00
_cell_angle_beta 90.00
_cell_angle_gamma 90.00
loop_
_atom_site_label
_atom_site_type_symbol
_atom_site_fract_x
_atom_site_fract_y
_atom_site_fract_z
Sm1 Sm 0.000 0.000 0.000
Sm2 Sm 0.000 0.208 0.376
Al1 Al 0.500 0.000 0.352
Al2 Al 0.500 0.116 0.700
Cu1 Cu 0.000 0.000 0.584
Cu2 Cu 0.500 0.167 0.083

---

[6]
# PBE Al8Ni7, optimized geometry
# Total magnetic moment ... 0.05 μB per formula unit
# Calculated total energy ... -5.01 eV/atom
data_Al8Ni7
_chemical_formula_sum 'Al16 Ni14'
_symmetry_space_group_name_H-M 'P 42/m n m'
_symmetry_Int_Tables_number 136
_symmetry_space_group_name_Hall '-P 4n 2n'
_cell_length_a 8.786
_cell_length_b 8.786
_cell_length_c 4.924
_cell_angle_alpha 90.00
_cell_angle_beta 90.00
_cell_angle_gamma 90.00
loop_
_atom_site_label
_atom_site_type_symbol
_atom_site_fract_x
_atom_site_fract_y
_atom_site_fract_z
Al1 Al 0.046 0.362 0.000
Al2 Al 0.169 0.831 0.248
Ni1 Ni 0.000 0.000 0.500
Ni2 Ni 0.073 0.271 0.500
Ni3 Ni 0.098 0.098 0.000

---

[7]
# PBE TlZnTeF, optimized geometry
# Calculated total energy ... -3.20 eV/atom
data_TlZnTeF
_chemical_formula_sum 'Tl2 Zn2 Te2 F2'
_symmetry_space_group_name_H-M 'P 4/n m m'
_symmetry_Int_Tables_number 129
_cell_length_a 4.245
_cell_length_b 4.245
_cell_length_c 11.376
_cell_angle_alpha 90.00
_cell_angle_beta 90.00
_cell_angle_gamma 90.00
loop_
_symmetry_equiv_pos_as_xyz
'x,y,z'
'-x,-y,-z'
'-y+1/2,x,z'
'y+1/2,-x,-z'
'-x+1/2,-y+1/2,z'
'x+1/2,y+1/2,-z'
'y,-x+1/2,z'
'-y,x+1/2,-z'
'x+1/2,-y,-z'
'-x+1/2,y,z'
'-y,-x,-z'
'y,x,z'
'-x,y+1/2,-z'
'x,-y+1/2,z'
'y+1/2,x+1/2,-z'
'-y+1/2,-x+1/2,z'
loop_
_atom_site_label
_atom_site_type_symbol
_atom_site_fract_x
_atom_site_fract_y
_atom_site_fract_z
Tl1 Tl 0.250 0.250 0.124
Zn1 Zn 0.250 0.750 0.500
Te1 Te 0.250 0.250 0.649
F1 F 0.250 0.750 0.000

---

[8]
# PBE Tb4PmCl2, optimized geometry
# Total magnetic moment ... 0.04 μB per formula unit
# Calculated total energy ... -4.37 eV/atom
data_Tb4PmCl2
_chemical_formula_sum 'Tb8 Pm2 Cl4'
_symmetry_space_group_name_H-M 'C 1 2/m 1'
_symmetry_Int_Tables_number 12
_symmetry_space_group_name_Hall '-C 2y'
_cell_length_a 11.409
_cell_length_b 9.486
_cell_length_c 3.587
_cell_angle_alpha 90.00
_cell_angle_beta 94.79
_cell_angle_gamma 90.00
loop_
_atom_site_label
_atom_site_type_symbol
_atom_site_fract_x
_atom_site_fract_y
_atom_site_fract_z
Tb1 Tb 0.129 0.189 0.226
Pm1 Pm 0.000 0.500 0.500
Cl1 Cl 0.233 0.500 0.231

---

[9]
# PBE LuSnPt, optimized geometry
# Total magnetic moment ... 0.00 μB per formula unit
# Calculated total energy ... -5.74 eV/atom
data_LuSnPt
_chemical_formula_sum 'Lu3 Sn3 Pt3'
_symmetry_space_group_name_H-M 'P -6 2 m'
_symmetry_Int_Tables_number 189
_symmetry_space_group_name_Hall 'P -6 -2'
_cell_length_a 7.0584
_cell_length_b 7.0584
_cell_length_c 4.3952
_cell_angle_alpha 90.00
_cell_angle_beta 90.00
_cell_angle_gamma 120.00
loop_
_atom_site_label
_atom_site_type_symbol
_atom_site_fract_x
_atom_site_fract_y
_atom_site_fract_z
Lu1 Lu 0.0000 0.5614 0.0000
Sn1 Sn 0.0000 0.0000 0.0000
Sn2 Sn 0.3333 0.6667 0.5000
Pt1 Pt 0.0000 0.2444 0.5000

---

[10]
# PBE YNi2Au2, optimized geometry
# Total magnetic moment ... 0.00 μB per formula unit
# Calculated total energy ... -5.15 eV/atom
data_YNi2Au2
_chemical_formula_sum 'Y2 Ni4 Au4'
_symmetry_space_group_name_H-M 'I 4/m m m'
_symmetry_Int_Tables_number 139
_symmetry_space_group_name_Hall '-I 4 2'
_cell_length_a 3.972
_cell_length_b 3.972
_cell_length_c 11.240
_cell_angle_alpha 90.00
_cell_angle_beta 90.00
_cell_angle_gamma 90.00
loop_
_atom_site_label
_atom_site_type_symbol
_atom_site_fract_x
_atom_site_fract_y
_atom_site_fract_z
Y1 Y 0.000 0.000 0.000
Ni1 Ni 0.000 0.000 0.401
Au1 Au 0.000 0.500 0.250

---

[11]
# PBE PrIn3Pt, optimized geometry
# Total magnetic moment ... 0.00 μB per formula unit
# Calculated total energy ... -4.35 eV/atom
data_PrIn3Pt
_chemical_formula_sum 'Pr2 In6 Pt2'
_symmetry_space_group_name_H-M 'I 4 m m'
_symmetry_Int_Tables_number 107
_symmetry_space_group_name_Hall 'I 4 -2'
_cell_length_a 4.608
_cell_length_b 4.608
_cell_length_c 11.739
_cell_angle_alpha 90.00
_cell_angle_beta 90.00
_cell_angle_gamma 90.00
loop_
_atom_site_label
_atom_site_type_symbol
_atom_site_fract_x
_atom_site_fract_y
_atom_site_fract_z
Pr1 Pr 0.000 0.000 0.000
In1 In 0.000 0.000 0.408
In2 In 0.000 0.500 0.246
Pt1 Pt 0.000 0.000 0.628

---

[12]
# PBE ZrBeReBi, optimized geometry
# Total magnetic moment ... 0.00 μB per formula unit
# Calculated total energy ... -6.56 eV/atom
data_ZrBeReBi
_chemical_formula_sum 'Zr4 Be4 Re4 Bi4'
_symmetry_space_group_name_H-M 'F -4 3 m'
_symmetry_Int_Tables_number 216
_symmetry_space_group_name_Hall 'F -4 2 3'
_cell_length_a 6.632
_cell_length_b 6.632
_cell_length_c 6.632
_cell_angle_alpha 90.00
_cell_angle_beta 90.00
_cell_angle_gamma 90.00
loop_
_atom_site_label
_atom_site_type_symbol
_atom_site_fract_x
_atom_site_fract_y
_atom_site_fract_z
Zr1 Zr 0.000 0.000 0.000
Be1 Be 0.000 0.000 0.500
Re1 Re 0.250 0.250 0.750
Bi1 Bi 0.250 0.250 0.250